1.
First-principles (GGA-PBE) data for an optimized crystal structure of FeCuTe2I, as listed in Alexandria.

Unit cell a=4.875 b=4.875 c=5.741 alpha=90.00 beta=90.00 gamma=90.00
Positions (direct):
Fe: 0.000 0.000 0.000
Cu: 0.500 0.500 0.500
Te: 0.000 0.500 0.000
I: 0.000 0.000 0.500
Te: 0.500 0.000 0.000

Computed properties:
The crystal system is tetragonal. The symmetry is P4/mmm. Its distance to the lowest polymorph of the same formula is 0 kJ/mol of formula units. The value obtained for the energy relative to the elements, uncorrected is 3.54 eV per formula unit.


2.
First-principles (GGA-PBE) data for an optimized crystal structure of TiFeCu2I, as listed in Alexandria.

Unit cell a=4.891 b=4.170 c=4.891 alpha=90.00 beta=90.00 gamma=90.00
Positions (direct):
Cu: 0.000 0.000 0.500
Cu: 0.500 0.000 0.000
I: 0.500 0.500 0.500
Fe: 0.000 0.500 0.000
Ti: 0.000 0.000 0.000

Computed properties:
The crystal system is tetragonal. The symmetry is P4/mmm. The value obtained for the energy relative to the elements, uncorrected is 5.92 eV per formula unit.


3.
First-principles (GGA-PBE) data for an optimized crystal structure of TlFeCuI4, as listed in Alexandria.

Unit cell a=7.479 b=7.479 c=7.419 alpha=120.27 beta=120.27 gamma=90.00
Each line ends with the local moment (μB).
Positions (direct):
I: 0.407 0.814 0.281  0.07
I: 0.874 0.466 0.281  0.07
Fe: 0.250 0.750 0.500  3.25
I: 0.186 0.126 0.719  0.07
I: 0.534 0.593 0.719  0.07
Cu: 0.500 0.500 0.000  0.07
Tl: 0.000 0.000 0.000  0.01

Computed properties:
The crystal system is tetragonal. The symmetry is I-4. The value obtained for the energy relative to the elements, uncorrected is -1.73 eV per formula unit.


4.
First-principles (GGA-PBE) data for an optimized crystal structure of InFe2Cu2, as listed in Alexandria.

Unit cell a=3.570 b=3.570 c=6.406 alpha=73.82 beta=73.82 gamma=90.00
Each line ends with the local moment (μB).
Positions (direct):
Fe: 0.750 0.250 0.500  2.68
Cu: 0.602 0.602 0.796  0.07
Fe: 0.250 0.750 0.500  2.68
In: 0.000 0.000 0.000  0.00
Cu: 0.398 0.398 0.204  0.07

Computed properties:
The formation energy is 0.3541 eV per atom. The crystal system is tetragonal. The symmetry is I4/mmm. Its distance to the lowest polymorph of the same formula is 31 kJ/mol of formula units.


Number 1: uncorrected energy -16.850 eV for the cell shown, calculated density 6.1 g cm⁻³. Number 2: uncorrected energy -20.180 eV for the cell shown, calculated density 6.0 g cm⁻³. Number 3: uncorrected energy -22.857 eV for the cell shown, calculated density 4.7 g cm⁻³. Number 4: uncorrected energy -26.086 eV for the cell shown, calculated density 7.8 g cm⁻³.